First-principles (SCAN) data for Ba2YV2F11 at its PBEsol-relaxed geometry, as listed in Alexandria via LeMat-Bulk.

formation energy without anion corrections	-3736	meV/atom
space group	No. 145
theoretical density	4.82	g/cm3
VASP energy	-721.9	eV for the cell shown

a = 7.7426 Å, b = 7.7426 Å, c = 13.4374 Å
α = 90.00°, β = 90.00°, γ = 120.00°
Last column: nearest neighbours and their distance in Å.
Fractional positions:
Ba  0.0081  0.1234  0.0000  8 F 2.60-2.87
Ba  0.1153  0.9919  0.3333  8 F 2.60-2.87
Ba  0.5073  0.2231  0.7879  9 F 2.59-2.88
Ba  0.7158  0.4927  0.1213  9 F 2.59-2.88
Ba  0.7769  0.2842  0.4546  9 F 2.59-2.88
Ba  0.8766  0.8847  0.6667  8 F 2.60-2.87
Y  0.2275  0.5638  0.2196  5 F 2.11-2.22
Y  0.3362  0.7725  0.5529  5 F 2.11-2.22
Y  0.4362  0.6638  0.8862  5 F 2.11-2.22
V  0.0592  0.4318  0.7345  6 F 2.03-2.12
V  0.3276  0.2800  0.5646  6 F 2.01-2.15
V  0.3726  0.9408  0.0678  6 F 2.03-2.12
V  0.5682  0.6274  0.4011  6 F 2.03-2.12
V  0.7200  0.0477  0.2313  6 F 2.01-2.15
V  0.9523  0.6724  0.8979  6 F 2.01-2.15
F  0.0097  0.6416  0.2594  1 Y 2.12
F  0.0213  0.2565  0.2738  1 V 2.15, 1 Y 2.22
F  0.0302  0.4203  0.1002  1 Y 2.11
F  0.0448  0.1460  0.5065  1 V 2.05
F  0.0570  0.4973  0.5856  1 V 2.07, 1 Y 2.19
F  0.0706  0.7933  0.0347  2 V 2.06-2.07
F  0.1012  0.9552  0.8398  1 V 2.05
F  0.1060  0.5070  0.8866  2 V 2.11-2.15, 1 Y 2.22
F  0.2067  0.2773  0.7013  2 V 2.06-2.07
F  0.2352  0.9787  0.6071  1 V 2.15, 1 Y 2.22
F  0.2797  0.5947  0.3933  1 V 2.12, 1 Y 2.36
F  0.3150  0.7203  0.7266  1 V 2.12, 1 Y 2.36
F  0.3255  0.1675  0.1101  1 V 2.04
F  0.3584  0.3681  0.9261  1 Y 2.12
F  0.3901  0.9698  0.4336  1 Y 2.11
F  0.4010  0.8940  0.2199  2 V 2.11-2.15, 1 Y 2.22
F  0.4053  0.6850  0.0599  1 V 2.12, 1 Y 2.36
F  0.4330  0.3285  0.4219  2 V 2.03-2.04
F  0.4403  0.9430  0.9190  1 V 2.07, 1 Y 2.19
F  0.4930  0.5990  0.5533  2 V 2.11-2.15, 1 Y 2.22
F  0.5027  0.5597  0.2523  1 V 2.07, 1 Y 2.19
F  0.5797  0.6099  0.7669  1 Y 2.11
F  0.6019  0.3428  0.6061  1 V 2.01
F  0.6319  0.9903  0.5928  1 Y 2.12
F  0.6572  0.2590  0.2728  1 V 2.01
F  0.6715  0.1044  0.0886  2 V 2.03-2.04
F  0.7227  0.9294  0.3680  2 V 2.06-2.07
F  0.7410  0.3981  0.9394  1 V 2.01
F  0.7435  0.7648  0.9405  1 V 2.15, 1 Y 2.22
F  0.8325  0.1580  0.7768  1 V 2.04
F  0.8420  0.6745  0.4434  1 V 2.04
F  0.8540  0.8988  0.1732  1 V 2.05
F  0.8956  0.5670  0.7552  2 V 2.03-2.04